This record from Alexandria describes crystalline Al8Cu at its relaxed geometry. The functional is PBE.

```
Al8Cu
1.0
-4.245 4.245 1.974
4.245 -4.245 1.974
4.245 4.245 -1.974
Al Cu
8 1
Direct
0.000 0.329 0.329
0.000 0.671 0.671
0.329 0.000 0.329
0.338 0.338 0.675
0.338 0.662 0.000
0.662 0.338 0.000
0.662 0.662 0.325
0.671 0.000 0.671
0.000 0.000 0.000
```

Values from the calculation:
- symmetry = I4/mmm
- raw total energy (eV per cell) = -34.2

This record from Alexandria describes crystalline Pm12Sn2Pb5 at its relaxed geometry. The functional is PBE.

```
Pm12Sn2Pb5
1.0
8.901 -3.677 0.000
8.901 3.677 0.000
-2.484 0.000 10.250
Pm Sn Pb
12 2 5
Direct
0.014 0.014 0.235
0.063 0.582 0.911
0.088 0.625 0.452
0.375 0.912 0.548
0.406 0.406 0.196
0.418 0.937 0.089
0.582 0.063 0.911
0.594 0.594 0.804
0.625 0.088 0.452
0.912 0.375 0.548
0.937 0.418 0.089
0.986 0.986 0.765
0.290 0.710 0.000
0.710 0.290 0.000
0.168 0.168 0.814
0.212 0.212 0.346
0.500 0.500 0.500
0.788 0.788 0.654
0.832 0.832 0.186
```

Values from the calculation:
- symmetry = C2/m
- raw total energy (eV per cell) = -89.1

Look up the raw total energy of the second one.
-89.1 eV per cell